1.
# WCS3

A relaxed WCS3 crystal (PBE, the Alexandria database).

Magnetization ... 0.94 μB per cell
Space group ... Pm-3m, No. 221
Volume ... 12.86 Å³/atom

```
WCS3
1.0
-2.348 -2.523 -2.041
0.519 -2.779 2.838
-3.204 1.399 1.956
S C W
3 1 1
Direct
0.000 0.500 0.000
0.000 0.000 0.500
0.500 0.000 0.000
0.000 0.000 0.000
0.500 0.500 0.500
```

2.
# W2CS

A relaxed W2CS crystal (PBE, the Alexandria database).

Magnetization ... 0.00 μB per cell
Space group ... I-42d, No. 122
Volume ... 15.81 Å³/atom

```
W2CS
1.0
5.180 0.000 0.000
0.000 5.180 0.000
2.590 2.590 4.713
S C W
2 2 4
Direct
0.000 0.000 0.000
0.750 0.250 0.500
0.500 0.500 0.000
0.250 0.750 0.500
0.576 0.125 0.250
0.174 0.625 0.250
0.375 0.424 0.750
0.875 0.826 0.750
```

3.
# W2CS

A relaxed W2CS crystal (PBE, the Alexandria database).

Magnetization ... 0.00 μB per cell
Space group ... Fm-3m, No. 225
Volume ... 11.99 Å³/atom

```
W2CS
1.0
0.000 2.883 2.883
2.883 0.000 2.883
2.883 2.883 0.000
S C W
1 1 2
Direct
0.500 0.500 0.500
0.000 0.000 0.000
0.250 0.250 0.250
0.750 0.750 0.750
```

4.
# WC3S

A relaxed WC3S crystal (PBE, the Alexandria database).

Magnetization ... 0.00 μB per cell
Space group ... Pm-3m, No. 221
Volume ... 9.46 Å³/atom

```
WC3S
1.0
3.616 0.000 0.000
0.000 3.616 0.000
0.000 0.000 3.616
S C W
1 3 1
Direct
0.000 0.000 0.000
0.000 0.500 0.000
0.000 0.000 0.500
0.500 0.000 0.000
0.500 0.500 0.500
```

Number 1: DFT total energy -5.58 eV/atom. Number 2: DFT total energy -9.23 eV/atom. Number 3: DFT total energy -9.10 eV/atom. Number 4: DFT total energy -6.49 eV/atom.